# 1
# MgC (PBEsol, optimized geometry)
data_MgC
_space_group_name_H-M_alt 'C m c m'
_space_group_IT_number 63
_space_group_name_Hall '-C 2c 2'
_cell_length_a 3.1138
_cell_length_b 11.8878
_cell_length_c 2.6153
_cell_angle_alpha 90.00
_cell_angle_beta 90.00
_cell_angle_gamma 90.00
loop_
_atom_site_label
_atom_site_fract_x
_atom_site_fract_y
_atom_site_fract_z
Mg1 0.0000 0.1341 0.2500
C1 0.0000 0.4702 0.2500
# - Magnetic moment: 0.000 μB per formula unit
# - Raw total energy: -5.240 eV per atom
# - Formation energy: 0.44 eV/atom

---

# 2
# MgC2 (PBEsol, optimized geometry)
data_MgC2
_space_group_name_H-M_alt 'I 4/m c m'
_space_group_IT_number 140
_space_group_name_Hall '-I 4 2c'
_cell_length_a 4.9371
_cell_length_b 4.9371
_cell_length_c 5.9724
_cell_angle_alpha 90.00
_cell_angle_beta 90.00
_cell_angle_gamma 90.00
loop_
_atom_site_label
_atom_site_fract_x
_atom_site_fract_y
_atom_site_fract_z
Mg1 0.0000 0.0000 0.2500
C1 0.0904 0.4096 0.0000
# - Magnetic moment: 0.006 μB per formula unit
# - Raw total energy: -5.843 eV per atom
# - Formation energy: 1.16 eV/atom

---

# 3
# MgC2 (PBEsol, optimized geometry)
data_MgC2
_space_group_name_H-M_alt 'I m m m'
_space_group_IT_number 71
_space_group_name_Hall '-I 2 2'
_cell_length_a 3.2817
_cell_length_b 4.5635
_cell_length_c 4.7396
_cell_angle_alpha 90.00
_cell_angle_beta 90.00
_cell_angle_gamma 90.00
loop_
_atom_site_label
_atom_site_fract_x
_atom_site_fract_y
_atom_site_fract_z
Mg1 0.0000 0.0000 0.0000
C1 0.0000 0.1377 0.5000
# - Magnetic moment: 0.000 μB per formula unit
# - Raw total energy: -6.496 eV per atom
# - Formation energy: 0.51 eV/atom

---

# 4
# MgC (PBEsol, optimized geometry)
data_MgC
_space_group_name_H-M_alt 'P m -3 m'
_space_group_IT_number 221
_space_group_name_Hall '-P 4 2 3'
_cell_length_a 4.4158
_cell_length_b 4.4158
_cell_length_c 4.4158
_cell_angle_alpha 90.00
_cell_angle_beta 90.00
_cell_angle_gamma 90.00
loop_
_atom_site_label
_atom_site_fract_x
_atom_site_fract_y
_atom_site_fract_z
Mg1 0.0000 0.0000 0.5000
C1 0.0000 0.5000 0.5000
# - Magnetic moment: 0.000 μB per formula unit
# - Raw total energy: -3.938 eV per atom
# - Formation energy: 1.74 eV/atom

---

# 5
# MgC2 (PBEsol, optimized geometry)
data_MgC2
_space_group_name_H-M_alt 'R -3 m'
_space_group_IT_number 166
_space_group_name_Hall '-R 3 2"'
_cell_length_a 2.5929
_cell_length_b 2.5929
_cell_length_c 16.1594
_cell_angle_alpha 90.00
_cell_angle_beta 90.00
_cell_angle_gamma 120.00
loop_
_atom_site_label
_atom_site_fract_x
_atom_site_fract_y
_atom_site_fract_z
Mg1 0.0000 0.0000 0.0000
C1 0.0000 0.0000 0.1678
# - Magnetic moment: 0.000 μB per formula unit
# - Raw total energy: -6.548 eV per atom
# - Formation energy: 0.45 eV/atom

---

# 6
# MgC2 (PBEsol, optimized geometry)
data_MgC2
_space_group_name_H-M_alt 'P 42/m n m'
_space_group_IT_number 136
_space_group_name_Hall '-P 4n 2n'
_cell_length_a 5.7053
_cell_length_b 5.7053
_cell_length_c 2.3652
_cell_angle_alpha 90.00
_cell_angle_beta 90.00
_cell_angle_gamma 90.00
loop_
_atom_site_label
_atom_site_fract_x
_atom_site_fract_y
_atom_site_fract_z
Mg1 0.0000 0.0000 0.0000
C1 0.2332 0.2332 0.5000
# - Magnetic moment: 0.002 μB per formula unit
# - Raw total energy: -3.967 eV per atom
# - Formation energy: 3.03 eV/atom